1.
The following is a DFT calculation (GGA-PBEsol) of a relaxed K2Sb crystal.

abc: 5.851 5.897 8.560
angles: 109.81 90.00 119.74
Sites, in units of the cell vectors:
Sb: 0.934 0.869 0.814
Sb: 0.066 0.131 0.186
K: 0.204 0.408 0.620
K: 0.635 0.269 0.912
K: 0.365 0.731 0.088
K: 0.796 0.592 0.380

Output
calculated volume: 39.35 Å³ per atom
relative energy among the computed polymorphs: 0.00 eV/f.u.
density of states at the Fermi level: 4.51 states/eV/cell
ρ: 2.8 Mg/m³
size of the total moment: 0.0 μB/f.u.

2.
The following is a DFT calculation (GGA-PBEsol) of a relaxed K3LaBi crystal.

abc: 6.296 6.296 6.296
angles: 90.00 90.00 90.00
Sites, in units of the cell vectors:
K: 0.000 0.500 0.000
K: 0.000 0.000 0.500
K: 0.500 0.000 0.000
Bi: 0.500 0.500 0.500
La: 0.000 0.000 0.000

Output
calculated volume: 49.92 Å³ per atom
density of states at the Fermi level: 3.09 states/eV/cell
ρ: 3.1 Mg/m³
size of the total moment: 2.9 μB/f.u.
E_form: 0.9705 eV per atom

3.
The following is a DFT calculation (GGA-PBEsol) of a relaxed ZrCdSN2 crystal.

abc: 4.045 4.045 4.744
angles: 90.00 90.00 90.00
Sites, in units of the cell vectors:
S: 0.000 0.000 0.500
N: 0.000 0.500 0.000
N: 0.500 0.000 0.000
Zr: 0.500 0.500 0.500
Cd: 0.000 0.000 0.000

Output
calculated volume: 15.52 Å³ per atom
calculated total energy: -5.279 eV/atom
density of states at the Fermi level: 2.74 states/eV/cell
ρ: 5.6 Mg/m³
size of the total moment: 0.0 μB/f.u.

4.
The following is a DFT calculation (GGA-PBEsol) of a relaxed Ba2SrCu crystal.

abc: 4.469 4.469 11.174
angles: 78.46 78.46 60.00
Sites, in units of the cell vectors:
Ba: 0.222 0.222 0.335
Ba: 0.778 0.778 0.665
Cu: 0.500 0.500 0.500
Sr: 0.000 0.000 0.000

Output
calculated volume: 47.02 Å³ per atom
relative energy among the computed polymorphs: 0.17 eV/f.u.
density of states at the Fermi level: 4.44 states/eV/cell
ρ: 3.8 Mg/m³
size of the total moment: 0.0 μB/f.u.
E_form: 0.1034 eV per atom

5.
The following is a DFT calculation (GGA-PBEsol) of a relaxed Y6Te2P crystal.

abc: 3.971 11.248 21.260
angles: 90.00 90.00 90.00
Sites, in units of the cell vectors:
P: 0.750 0.368 0.433
P: 0.250 0.868 0.067
P: 0.250 0.632 0.567
P: 0.750 0.132 0.933
Te: 0.750 0.533 0.241
Te: 0.250 0.033 0.259
Te: 0.250 0.467 0.759
Te: 0.750 0.967 0.741
Te: 0.750 0.224 0.121
Te: 0.250 0.724 0.379
Te: 0.250 0.776 0.879
Te: 0.750 0.276 0.621
Y: 0.750 0.688 0.112
Y: 0.250 0.188 0.388
Y: 0.250 0.312 0.888
Y: 0.750 0.812 0.612
Y: 0.750 0.963 0.150
Y: 0.250 0.463 0.350
Y: 0.250 0.037 0.850
Y: 0.750 0.537 0.650
Y: 0.750 0.249 0.261
Y: 0.250 0.749 0.239
Y: 0.250 0.751 0.739
Y: 0.750 0.251 0.761
Y: 0.750 0.616 0.474
Y: 0.250 0.116 0.026
Y: 0.250 0.384 0.526
Y: 0.750 0.884 0.974
Y: 0.750 0.933 0.359
Y: 0.250 0.433 0.141
Y: 0.250 0.067 0.641
Y: 0.750 0.567 0.859
Y: 0.750 0.382 0.002
Y: 0.250 0.882 0.498
Y: 0.250 0.618 0.998
Y: 0.750 0.118 0.502

Output
calculated volume: 26.38 Å³ per atom
calculated total energy: -6.979 eV/atom
density of states at the Fermi level: 35.68 states/eV/cell
ρ: 5.7 Mg/m³
size of the total moment: 0.0 μB/f.u.

6.
The following is a DFT calculation (GGA-PBEsol) of a relaxed MnCd2Se crystal.

abc: 3.836 3.836 6.110
angles: 108.29 108.29 90.00
Sites, in units of the cell vectors:
Cd: 0.750 0.250 0.500
Cd: 0.250 0.750 0.500
Mn: 0.500 0.500 0.000
Se: 0.000 0.000 0.000

Output
calculated volume: 20.14 Å³ per atom
calculated total energy: -3.832 eV/atom
density of states at the Fermi level: 1.57 states/eV/cell
ρ: 7.4 Mg/m³
size of the total moment: 4.4 μB/f.u.